Entry 1:
The following is a PBE-GGA calculation of a geometry-optimized La2AlSnIr structure, from the Alexandria database.

a = 5.932 Å, b = 5.932 Å, c = 4.765 Å
α = 90.00°, β = 90.00°, γ = 90.00°
Atoms (fractional coordinates):
La1 0.000 0.500 0.000
La2 0.500 0.000 0.000
Al1 0.000 0.000 0.500
Sn1 0.000 0.000 0.000
Ir1 0.500 0.500 0.500

Output
The energy relative to the lowest polymorph listed for this composition is 1327.0 meV per atom. The magnetic moment is 0.00 μB per atom. The value obtained for the energy of formation from the pure elements is 3.5 eV/f.u.

***

Entry 2:
The following is a PBE-GGA calculation of a geometry-optimized La2AlSnIr structure, from the Alexandria database.

a = 5.535 Å, b = 5.535 Å, c = 4.827 Å
α = 90.00°, β = 90.00°, γ = 90.00°
Atoms (fractional coordinates):
La1 0.000 0.500 0.000
La2 0.500 0.000 0.000
Al1 0.000 0.000 0.500
Sn1 0.500 0.500 0.500
Ir1 0.000 0.000 0.000

Output
The energy relative to the lowest polymorph listed for this composition is 0.0 meV per atom. The magnetic moment is 0.00 μB per atom. The value obtained for the energy of formation from the pure elements is -3.2 eV/f.u.

***

Entry 3:
The following is a PBE-GGA calculation of a geometry-optimized SrLa2AlIr structure, from the Alexandria database.

a = 5.671 Å, b = 5.671 Å, c = 5.030 Å
α = 90.00°, β = 90.00°, γ = 90.00°
Atoms (fractional coordinates):
Sr1 0.000 0.000 0.000
La1 0.000 0.500 0.500
La2 0.500 0.000 0.500
Al1 0.500 0.500 0.000
Ir1 0.500 0.500 0.500

Output
The magnetic moment is 0.00 μB per atom. The value obtained for the energy of formation from the pure elements is -1.8 eV/f.u.

***

Entry 4:
The following is a PBE-GGA calculation of a geometry-optimized LaTaAlIr2 structure, from the Alexandria database.

a = 6.417 Å, b = 6.417 Å, c = 6.417 Å
α = 141.66°, β = 141.66°, γ = 55.33°
Atoms (fractional coordinates):
La1 0.000 0.000 0.000
Ta1 0.750 0.250 0.500
Al1 0.250 0.750 0.500
Ir1 0.383 0.383 0.000
Ir2 0.617 0.617 0.000

Output
The magnetic moment is 0.00 μB per atom. The value obtained for the energy of formation from the pure elements is -3.7 eV/f.u.

***

Entry 5:
The following is a PBE-GGA calculation of a geometry-optimized La2Al6TcIr structure, from the Alexandria database.

a = 6.735 Å, b = 6.735 Å, c = 6.735 Å
α = 60.00°, β = 60.00°, γ = 60.00°
Atoms (fractional coordinates):
La1 0.250 0.250 0.250
La2 0.750 0.750 0.750
Al1 0.249 0.249 0.751
Al2 0.249 0.751 0.249
Al3 0.249 0.751 0.751
Al4 0.751 0.249 0.249
Al5 0.751 0.249 0.751
Al6 0.751 0.751 0.249
Tc1 0.000 0.000 0.000
Ir1 0.500 0.500 0.500

Output
The magnetic moment is 0.00 μB per atom. The value obtained for the energy of formation from the pure elements is -4.9 eV/f.u.

***

Entry 6:
The following is a PBE-GGA calculation of a geometry-optimized LaTiAlIr2 structure, from the Alexandria database.

a = 6.476 Å, b = 6.476 Å, c = 6.476 Å
α = 142.96°, β = 142.96°, γ = 53.38°
Atoms (fractional coordinates):
La1 0.000 0.000 0.000
Ti1 0.750 0.250 0.500
Al1 0.250 0.750 0.500
Ir1 0.382 0.382 0.000
Ir2 0.618 0.618 0.000

Output
The magnetic moment is 0.00 μB per atom. The value obtained for the energy of formation from the pure elements is -4.3 eV/f.u.

***

Entry 7:
The following is a PBE-GGA calculation of a geometry-optimized La2AlTlIr structure, from the Alexandria database.

a = 7.914 Å, b = 4.444 Å, c = 7.997 Å
α = 90.00°, β = 109.49°, γ = 90.00°
Atoms (fractional coordinates):
La1 0.114 0.250 0.333
La2 0.285 0.250 0.968
La3 0.715 0.750 0.032
La4 0.886 0.750 0.667
Al1 0.440 0.750 0.341
Al2 0.560 0.250 0.659
Tl1 0.325 0.750 0.662
Tl2 0.675 0.250 0.338
Ir1 0.132 0.750 0.104
Ir2 0.868 0.250 0.896

Output
The energy relative to the lowest polymorph listed for this composition is 0.0 meV per atom. The magnetic moment is 0.00 μB per atom. The value obtained for the energy of formation from the pure elements is -2.9 eV/f.u.

***

Entry 8:
The following is a PBE-GGA calculation of a geometry-optimized La2AlTlIr structure, from the Alexandria database.

a = 5.573 Å, b = 5.573 Å, c = 4.838 Å
α = 90.00°, β = 90.00°, γ = 90.00°
Atoms (fractional coordinates):
La1 0.000 0.500 0.000
La2 0.500 0.000 0.000
Al1 0.000 0.000 0.500
Tl1 0.500 0.500 0.500
Ir1 0.000 0.000 0.000

Output
The energy relative to the lowest polymorph listed for this composition is 75.9 meV per atom. The magnetic moment is 0.00 μB per atom. The value obtained for the energy of formation from the pure elements is -2.5 eV/f.u.

***

Entry 9:
The following is a PBE-GGA calculation of a geometry-optimized LaAl2ZnIr structure, from the Alexandria database.

a = 4.728 Å, b = 4.728 Å, c = 4.861 Å
α = 90.00°, β = 90.00°, γ = 90.00°
Atoms (fractional coordinates):
La1 0.000 0.000 0.000
Al1 0.000 0.500 0.500
Al2 0.500 0.000 0.500
Zn1 0.500 0.500 0.000
Ir1 0.500 0.500 0.500

Output
The magnetic moment is 0.00 μB per atom. The value obtained for the energy of formation from the pure elements is -2.5 eV/f.u.

***

Entry 10:
The following is a PBE-GGA calculation of a geometry-optimized LaAlZnIr structure, from the Alexandria database.

a = 5.705 Å, b = 5.705 Å, c = 5.705 Å
α = 45.32°, β = 45.32°, γ = 45.32°
Atoms (fractional coordinates):
La1 0.000 0.000 0.000
Al1 0.473 0.473 0.473
Zn1 0.202 0.202 0.202
Ir1 0.804 0.804 0.804

Output
The magnetic moment is 0.00 μB per atom. The value obtained for the energy of formation from the pure elements is -2.5 eV/f.u.

***

Entry 11:
The following is a PBE-GGA calculation of a geometry-optimized LaAl4Zn2Ir structure, from the Alexandria database.

a = 9.717 Å, b = 9.717 Å, c = 9.717 Å
α = 25.73°, β = 25.73°, γ = 25.73°
Atoms (fractional coordinates):
La1 0.000 0.000 0.000
Al1 0.138 0.138 0.138
Al2 0.411 0.411 0.411
Al3 0.589 0.589 0.589
Al4 0.862 0.862 0.862
Zn1 0.260 0.260 0.260
Zn2 0.740 0.740 0.740
Ir1 0.500 0.500 0.500

Output
The magnetic moment is 0.00 μB per atom. The value obtained for the energy of formation from the pure elements is -3.3 eV/f.u.

***

Entry 12:
The following is a PBE-GGA calculation of a geometry-optimized LaZrAlIr2 structure, from the Alexandria database.

a = 6.632 Å, b = 6.632 Å, c = 6.632 Å
α = 142.96°, β = 142.96°, γ = 53.39°
Atoms (fractional coordinates):
La1 0.000 0.000 0.000
Zr1 0.250 0.750 0.500
Al1 0.750 0.250 0.500
Ir1 0.388 0.388 0.000
Ir2 0.612 0.612 0.000

Output
The magnetic moment is 0.00 μB per atom. The value obtained for the energy of formation from the pure elements is -4.2 eV/f.u.

***

Entry 13:
The following is a PBE-GGA calculation of a geometry-optimized LiAlIr2 structure, from the Alexandria database.

a = 8.400 Å, b = 8.400 Å, c = 8.400 Å
α = 19.36°, β = 19.36°, γ = 19.36°
Atoms (fractional coordinates):
Li1 0.000 0.000 0.000
Al1 0.500 0.500 0.500
Ir1 0.245 0.245 0.245
Ir2 0.755 0.755 0.755

Output
The magnetic moment is 0.00 μB per atom. The value obtained for the energy of formation from the pure elements is -1.6 eV/f.u.

***

Entry 14:
The following is a PBE-GGA calculation of a geometry-optimized LiAlIr2 structure, from the Alexandria database.

a = 4.732 Å, b = 4.732 Å, c = 4.732 Å
α = 133.38°, β = 133.38°, γ = 68.06°
Atoms (fractional coordinates):
Li1 0.000 0.000 0.000
Al1 0.250 0.750 0.500
Ir1 0.500 0.500 0.000
Ir2 0.750 0.250 0.500

Output
The magnetic moment is 0.00 μB per atom. The value obtained for the energy of formation from the pure elements is -1.3 eV/f.u.

***

Entry 15:
The following is a PBE-GGA calculation of a geometry-optimized LiAlIr2 structure, from the Alexandria database.

a = 4.392 Å, b = 4.392 Å, c = 4.813 Å
α = 100.92°, β = 100.92°, γ = 37.11°
Atoms (fractional coordinates):
Li1 0.000 0.000 0.000
Al1 0.500 0.500 0.500
Ir1 0.242 0.242 0.754
Ir2 0.758 0.758 0.246

Output
The magnetic moment is 0.00 μB per atom. The value obtained for the energy of formation from the pure elements is -1.8 eV/f.u.

***

Entry 16:
The following is a PBE-GGA calculation of a geometry-optimized Li2AlIr2 structure, from the Alexandria database.

a = 6.234 Å, b = 6.234 Å, c = 4.101 Å
α = 90.00°, β = 90.00°, γ = 90.00°
Atoms (fractional coordinates):
Li1 0.161 0.339 0.000
Li2 0.339 0.839 0.000
Li3 0.661 0.161 0.000
Li4 0.839 0.661 0.000
Al1 0.000 0.000 0.500
Al2 0.500 0.500 0.500
Ir1 0.140 0.640 0.500
Ir2 0.360 0.140 0.500
Ir3 0.640 0.860 0.500
Ir4 0.860 0.360 0.500

Output
The energy relative to the lowest polymorph listed for this composition is 15.0 meV per atom. The magnetic moment is 0.00 μB per atom. The value obtained for the energy of formation from the pure elements is -0.8 eV/f.u.

***

Entry 17:
The following is a PBE-GGA calculation of a geometry-optimized Li3AlIr structure, from the Alexandria database.

a = 4.413 Å, b = 4.413 Å, c = 4.413 Å
α = 90.00°, β = 90.00°, γ = 90.00°
Atoms (fractional coordinates):
Li1 0.000 0.000 0.500
Li2 0.000 0.500 0.000
Li3 0.500 0.000 0.000
Al1 0.000 0.000 0.000
Ir1 0.500 0.500 0.500

Output
The energy relative to the lowest polymorph listed for this composition is 462.0 meV per atom. The magnetic moment is 0.00 μB per atom. The value obtained for the energy of formation from the pure elements is 4.8 eV/f.u.

***

Entry 18:
The following is a PBE-GGA calculation of a geometry-optimized LiAl2Ir2 structure, from the Alexandria database.

a = 6.173 Å, b = 6.173 Å, c = 6.173 Å
α = 142.68°, β = 142.68°, γ = 53.81°
Atoms (fractional coordinates):
Li1 0.000 0.000 0.000
Al1 0.250 0.750 0.500
Al2 0.750 0.250 0.500
Ir1 0.385 0.385 0.000
Ir2 0.615 0.615 0.000

Output
The energy relative to the lowest polymorph listed for this composition is 298.0 meV per atom. The magnetic moment is 0.00 μB per atom. The value obtained for the energy of formation from the pure elements is -2.1 eV/f.u.

***

Entry 19:
The following is a PBE-GGA calculation of a geometry-optimized LiAlIr2 structure, from the Alexandria database.

a = 5.754 Å, b = 5.754 Å, c = 5.754 Å
α = 152.30°, β = 133.38°, γ = 55.10°
Atoms (fractional coordinates):
Li1 0.000 0.000 0.000
Al1 0.500 0.500 0.000
Ir1 0.276 0.276 0.000
Ir2 0.724 0.724 0.000

Output
The magnetic moment is 0.00 μB per atom. The value obtained for the energy of formation from the pure elements is 0.4 eV/f.u.

***

Entry 20:
The following is a PBE-GGA calculation of a geometry-optimized LiAlIr2 structure, from the Alexandria database.

a = 2.849 Å, b = 4.189 Å, c = 4.634 Å
α = 90.00°, β = 90.00°, γ = 90.00°
Atoms (fractional coordinates):
Li1 0.000 0.000 0.000
Al1 0.500 0.000 0.500
Ir1 0.000 0.500 0.500
Ir2 0.500 0.500 0.000

Output
The magnetic moment is 0.00 μB per atom. The value obtained for the energy of formation from the pure elements is -1.5 eV/f.u.

***

Entry 21:
The following is a PBE-GGA calculation of a geometry-optimized Li2AlIr2 structure, from the Alexandria database.

a = 4.510 Å, b = 4.510 Å, c = 4.510 Å
α = 121.92°, β = 121.92°, γ = 86.71°
Atoms (fractional coordinates):
Li1 0.128 0.128 0.000
Li2 0.872 0.872 0.000
Al1 0.500 0.500 0.000
Ir1 0.250 0.750 0.500
Ir2 0.750 0.250 0.500

Output
The energy relative to the lowest polymorph listed for this composition is 167.2 meV per atom. The magnetic moment is 0.00 μB per atom. The value obtained for the energy of formation from the pure elements is 0.0 eV/f.u.

***

Entry 22:
The following is a PBE-GGA calculation of a geometry-optimized Li3AlIr structure, from the Alexandria database.

a = 4.605 Å, b = 4.605 Å, c = 4.605 Å
α = 90.00°, β = 90.00°, γ = 90.00°
Atoms (fractional coordinates):
Li1 0.000 0.000 0.500
Li2 0.000 0.500 0.000
Li3 0.500 0.000 0.000
Al1 0.500 0.500 0.500
Ir1 0.000 0.000 0.000

Output
The energy relative to the lowest polymorph listed for this composition is 0.0 meV per atom. The magnetic moment is 0.00 μB per atom. The value obtained for the energy of formation from the pure elements is 2.5 eV/f.u.

***

Entry 23:
The following is a PBE-GGA calculation of a geometry-optimized LiAlIr2 structure, from the Alexandria database.

a = 4.292 Å, b = 4.292 Å, c = 4.292 Å
α = 60.00°, β = 60.00°, γ = 60.00°
Atoms (fractional coordinates):
Li1 0.000 0.000 0.000
Al1 0.750 0.750 0.750
Ir1 0.250 0.250 0.250
Ir2 0.500 0.500 0.500

Output
The magnetic moment is 0.23 μB per atom. The value obtained for the energy of formation from the pure elements is -1.2 eV/f.u.

***

Entry 24:
The following is a PBE-GGA calculation of a geometry-optimized LiAlIr2 structure, from the Alexandria database.

a = 2.729 Å, b = 3.849 Å, c = 5.257 Å
α = 90.00°, β = 90.00°, γ = 90.00°
Atoms (fractional coordinates):
Li1 0.000 0.000 0.000
Al1 0.500 0.500 0.260
Ir1 0.000 0.000 0.500
Ir2 0.500 0.500 0.772

Output
The magnetic moment is 0.00 μB per atom. The value obtained for the energy of formation from the pure elements is -1.3 eV/f.u.

***

Entry 25:
The following is a PBE-GGA calculation of a geometry-optimized LiAl5Ir6 structure, from the Alexandria database.

a = 7.346 Å, b = 7.346 Å, c = 7.346 Å
α = 146.48°, β = 131.77°, γ = 60.01°
Atoms (fractional coordinates):
Li1 0.000 0.000 0.000
Al1 0.164 0.664 0.500
Al2 0.334 0.334 0.000
Al3 0.500 0.000 0.500
Al4 0.666 0.666 0.000
Al5 0.836 0.336 0.500
Ir1 0.083 0.832 0.251
Ir2 0.251 0.500 0.751
Ir3 0.418 0.168 0.251
Ir4 0.582 0.832 0.749
Ir5 0.749 0.500 0.249
Ir6 0.917 0.168 0.749

Output
The magnetic moment is 0.00 μB per atom. The value obtained for the energy of formation from the pure elements is -10.7 eV/f.u.

***

Entry 26:
The following is a PBE-GGA calculation of a geometry-optimized Li12Al6Ir structure, from the Alexandria database.

a = 6.864 Å, b = 6.864 Å, c = 6.864 Å
α = 88.91°, β = 88.91°, γ = 88.91°
Atoms (fractional coordinates):
Li1 0.019 0.306 0.935
Li2 0.065 0.981 0.694
Li3 0.128 0.351 0.459
Li4 0.306 0.935 0.019
Li5 0.351 0.459 0.128
Li6 0.459 0.128 0.351
Li7 0.541 0.872 0.649
Li8 0.649 0.541 0.872
Li9 0.694 0.065 0.981
Li10 0.872 0.649 0.541
Li11 0.935 0.019 0.306
Li12 0.981 0.694 0.065
Al1 0.243 0.611 0.756
Al2 0.244 0.757 0.389
Al3 0.389 0.244 0.757
Al4 0.611 0.756 0.243
Al5 0.756 0.243 0.611
Al6 0.757 0.389 0.244
Ir1 0.500 0.500 0.500

Output
The magnetic moment is 0.00 μB per atom. The value obtained for the energy of formation from the pure elements is -4.0 eV/f.u.

***

Entry 27:
The following is a PBE-GGA calculation of a geometry-optimized LiAlIr2 structure, from the Alexandria database.

a = 4.958 Å, b = 4.958 Å, c = 4.456 Å
α = 111.58°, β = 111.58°, γ = 32.70°
Atoms (fractional coordinates):
Li1 0.000 0.000 0.000
Al1 0.769 0.769 0.413
Ir1 0.248 0.248 0.906
Ir2 0.514 0.514 0.500

Output
The magnetic moment is 0.00 μB per atom. The value obtained for the energy of formation from the pure elements is -2.0 eV/f.u.